(1)
Compound: KTcS2Cl
Source: Alexandria
Functional: PBE-GGA
Structure: optimized geometry

Unit cell a=4.5977 b=4.5977 c=5.3691 alpha=90.00 beta=90.00 gamma=90.00
Closest atoms and distances in Å follow each position.
Positions (direct):
S: 0.0000 0.5000 0.0000  2 Tc 2.30
S: 0.5000 0.0000 0.0000  2 Tc 2.30
K: 0.5000 0.5000 0.5000  4 Cl 3.25, 8 S 3.53
Tc: 0.0000 0.0000 0.0000  4 S 2.30
Cl: 0.0000 0.0000 0.5000  2 Tc 2.68

Computed properties:
Fermi-level density of states, states/eV/atom: 0.224
Calculated total energy, eV for the cell shown: -24.7
ΔE_f (raw), eV per atom: -0.62

---

(2)
Compound: La3PbS2
Source: Alexandria
Functional: PBE-GGA
Structure: optimized geometry

Unit cell a=4.7142 b=7.5810 c=10.6786 alpha=90.00 beta=90.00 gamma=108.11
Closest atoms and distances in Å follow each position.
Positions (direct):
La: 0.6364 0.2729 0.0600  1 S 2.76
La: 0.0889 0.1778 0.7500  4 S 2.73-2.96
La: 0.6364 0.2729 0.4400  1 S 2.76
La: 0.9111 0.8222 0.2500  4 S 2.73-2.96
La: 0.3636 0.7271 0.9400  1 S 2.76
La: 0.3636 0.7271 0.5600  1 S 2.76
Pb: 0.2397 0.4795 0.2500  8 La 3.41-3.76
Pb: 0.7603 0.5205 0.7500  8 La 3.41-3.76
S: 0.0000 0.0000 0.0000  6 La 2.96-3.14
S: 0.0000 0.0000 0.5000  6 La 2.96-3.14
S: 0.5062 0.0123 0.2500  4 La 2.73-2.76
S: 0.4938 0.9877 0.7500  4 La 2.73-2.76

Computed properties:
Fermi-level density of states, states/eV/atom: 0.596
Calculated total energy, eV for the cell shown: -70.5
ΔE_f (raw), eV per atom: -1.41

---

(3)
Compound: La2TaSi
Source: Alexandria
Functional: PBE-GGA
Structure: optimized geometry

Unit cell a=5.9820 b=5.9820 c=5.9820 alpha=141.47 beta=130.34 gamma=64.56
Closest atoms and distances in Å follow each position.
Positions (direct):
La: 0.0123 0.0123 0.0000  4 Si 3.24, 4 Ta 3.32-3.50, 4 La 3.33-3.49
La: 0.7284 0.2284 0.5000  4 Ta 3.27, 4 La 3.33-3.49, 4 Si 3.35-3.44
Si: 0.4611 0.4611 0.0000  2 Ta 2.57
Ta: 0.2982 0.7982 0.5000  2 Si 2.57

Computed properties:
Fermi-level density of states, states/eV/atom: 1.121
Calculated total energy, eV for the cell shown: -27.3
ΔE_f (raw), eV per atom: -0.04

---

(4)
Compound: Y6ZnC3
Source: Alexandria
Functional: PBE-GGA
Structure: optimized geometry

Unit cell a=3.6238 b=10.7376 c=11.3629 alpha=103.15 beta=90.00 gamma=90.00
Closest atoms and distances in Å follow each position.
Positions (direct):
Y: 0.7500 0.5220 0.6283  4 C 2.53-2.64
Y: 0.2500 0.4780 0.3717  4 C 2.53-2.64
Y: 0.7500 0.9246 0.0936  3 C 2.48-2.51
Y: 0.2500 0.0754 0.9064  3 C 2.48-2.51
Y: 0.7500 0.3858 0.0475  4 C 2.48-2.67
Y: 0.2500 0.6142 0.9525  4 C 2.48-2.67
Y: 0.7500 0.6754 0.2465  3 C 2.46-2.49
Y: 0.2500 0.3246 0.7535  3 C 2.46-2.49
Y: 0.7500 0.2051 0.4804  2 C 2.47
Y: 0.2500 0.7949 0.5196  2 C 2.47
Y: 0.7500 0.8041 0.7981  2 C 2.43
Y: 0.2500 0.1959 0.2019  2 C 2.43
Zn: 0.7500 0.0355 0.6697  6 Y 3.12-3.30
Zn: 0.2500 0.9645 0.3303  6 Y 3.12-3.30
C: 0.7500 0.4746 0.8467  6 Y 2.48-2.67
C: 0.2500 0.5254 0.1533  6 Y 2.48-2.67
C: 0.7500 0.6390 0.4526  6 Y 2.46-2.59
C: 0.2500 0.3610 0.5474  6 Y 2.46-2.59
C: 0.7500 0.1461 0.0558  6 Y 2.43-2.60
C: 0.2500 0.8539 0.9442  6 Y 2.43-2.60

Computed properties:
Fermi-level density of states, states/eV/atom: 0.748
Calculated total energy, eV for the cell shown: -139.4
Energy of formation, meV per atom: -195

---

Q: Number 3 is which compound?
A: La2TaSi